(w)
This record from the Alexandria database describes LiAl2Ag2 at its PBEsol-relaxed geometry. The functional is meta-GGA SCAN.

Unit cell a=2.822 b=7.754 c=7.754 alpha=90.00 beta=90.00 gamma=90.00
Positions (direct):
Ag: 0.000 0.671 0.171
Al: 0.500 0.372 0.128
Ag: 0.000 0.329 0.829
Li: 0.000 0.500 0.500
Ag: 0.000 0.171 0.329
Li: 0.000 0.000 0.000
Al: 0.500 0.872 0.372
Ag: 0.000 0.829 0.671
Al: 0.500 0.628 0.872
Al: 0.500 0.128 0.628

spin magnetization: 0.00 μB/cell



(x)
This record from the Alexandria database describes LiAl2Ag2 at its PBEsol-relaxed geometry. The functional is meta-GGA SCAN.

Unit cell a=3.864 b=3.864 c=6.790 alpha=106.53 beta=106.53 gamma=90.00
Positions (direct):
Ag: 0.250 0.750 0.500
Al: 0.602 0.602 0.204
Ag: 0.750 0.250 0.500
Al: 0.398 0.398 0.796
Li: 0.000 0.000 0.000

spin magnetization: 0.00 μB/cell



Most stable of them? (w).



(w)
This record from the Alexandria database describes Mg2Al2Ag at its PBEsol-relaxed geometry. The functional is meta-GGA SCAN.

Unit cell a=2.873 b=8.344 c=8.344 alpha=90.00 beta=90.00 gamma=90.00
Positions (direct):
Mg: 0.000 0.684 0.184
Mg: 0.000 0.316 0.816
Al: 0.500 0.614 0.886
Al: 0.500 0.886 0.386
Mg: 0.000 0.184 0.316
Ag: 0.000 0.000 0.000
Al: 0.500 0.114 0.614
Al: 0.500 0.386 0.114
Mg: 0.000 0.816 0.684
Ag: 0.000 0.500 0.500

spin magnetization: 0.00 μB/cell



(x)
This record from the Alexandria database describes Mg2Al2Ag at its PBEsol-relaxed geometry. The functional is meta-GGA SCAN.

Unit cell a=4.340 b=6.689 c=6.689 alpha=90.00 beta=90.00 gamma=90.00
Positions (direct):
Mg: 0.500 0.666 0.834
Al: 0.000 0.138 0.362
Ag: 0.000 0.500 0.500
Al: 0.000 0.362 0.862
Mg: 0.500 0.834 0.334
Mg: 0.500 0.166 0.666
Al: 0.000 0.862 0.638
Ag: 0.000 0.000 0.000
Al: 0.000 0.638 0.138
Mg: 0.500 0.334 0.166

spin magnetization: 0.00 μB/cell



(y)
This record from the Alexandria database describes Mg2Al2Ag at its PBEsol-relaxed geometry. The functional is meta-GGA SCAN.

Unit cell a=3.985 b=3.985 c=7.067 alpha=106.38 beta=106.38 gamma=90.00
Positions (direct):
Ag: 0.000 0.000 0.000
Al: 0.405 0.405 0.811
Mg: 0.250 0.750 0.500
Mg: 0.750 0.250 0.500
Al: 0.595 0.595 0.189

spin magnetization: 0.00 μB/cell



Most stable of them? (x).



(w)
This record from the Alexandria database describes Al2NiAg at its PBEsol-relaxed geometry. The functional is meta-GGA SCAN.

Unit cell a=2.842 b=2.842 c=7.067 alpha=90.00 beta=90.00 gamma=90.00
Positions (direct):
Ag: 0.500 0.500 0.733
Ni: 0.000 0.000 0.475
Al: 0.000 0.000 0.003
Al: 0.500 0.500 0.289

spin magnetization: 0.00 μB/cell



(x)
This record from the Alexandria database describes Al2NiAg at its PBEsol-relaxed geometry. The functional is meta-GGA SCAN.

Unit cell a=3.240 b=3.240 c=5.391 alpha=90.00 beta=90.00 gamma=90.00
Positions (direct):
Al: 0.000 0.000 0.994
Al: 0.500 0.500 0.287
Ni: 0.000 0.000 0.461
Ag: 0.500 0.500 0.759

spin magnetization: 0.00 μB/cell



Most stable of them? (x).



(w)
This record from the Alexandria database describes Al2AgPt at its PBEsol-relaxed geometry. The functional is meta-GGA SCAN.

Unit cell a=2.875 b=4.494 c=4.698 alpha=90.00 beta=90.00 gamma=90.00
Positions (direct):
Ag: 0.500 0.743 0.500
Pt: 0.000 0.501 0.000
Al: 0.500 0.016 0.000
Al: 0.000 0.240 0.500

spin magnetization: 0.00 μB/cell



(x)
This record from the Alexandria database describes Al2AgPt at its PBEsol-relaxed geometry. The functional is meta-GGA SCAN.

Unit cell a=4.433 b=4.433 c=4.433 alpha=60.00 beta=60.00 gamma=60.00
Positions (direct):
Al: 0.750 0.750 0.750
Al: 0.000 0.000 0.000
Ag: 0.500 0.500 0.500
Pt: 0.250 0.250 0.250

spin magnetization: 0.00 μB/cell



Most stable of them? (w).



(w)
This record from the Alexandria database describes Al2ReAg at its PBEsol-relaxed geometry. The functional is meta-GGA SCAN.

Unit cell a=2.837 b=2.837 c=8.852 alpha=80.78 beta=80.78 gamma=60.00
Positions (direct):
Ag: 0.000 0.000 0.000
Re: 0.500 0.500 0.500
Al: 0.246 0.246 0.261
Al: 0.754 0.754 0.739

spin magnetization: 0.00 μB/cell



(x)
This record from the Alexandria database describes Al2ReAg at its PBEsol-relaxed geometry. The functional is meta-GGA SCAN.

Unit cell a=2.728 b=4.587 c=5.131 alpha=99.34 beta=90.00 gamma=107.30
Positions (direct):
Al: 0.746 0.493 0.736
Re: 0.000 0.000 0.500
Al: 0.254 0.507 0.264
Ag: 0.500 0.000 0.000

spin magnetization: 0.00 μB/cell



Most stable of them? (w).



(w)
This record from the Alexandria database describes Al2AgSb2 at its PBEsol-relaxed geometry. The functional is meta-GGA SCAN.

Unit cell a=3.926 b=3.926 c=7.836 alpha=104.51 beta=104.51 gamma=90.00
Positions (direct):
Al: 0.250 0.750 0.500
Sb: 0.390 0.390 0.779
Sb: 0.610 0.610 0.221
Al: 0.750 0.250 0.500
Ag: 0.000 0.000 0.000

spin magnetization: 0.00 μB/cell



(x)
This record from the Alexandria database describes Al2AgSb2 at its PBEsol-relaxed geometry. The functional is meta-GGA SCAN.

Unit cell a=4.217 b=7.090 c=7.090 alpha=90.00 beta=90.00 gamma=90.00
Positions (direct):
Sb: 0.500 0.689 0.811
Al: 0.000 0.870 0.630
Al: 0.000 0.370 0.870
Sb: 0.500 0.189 0.689
Al: 0.000 0.130 0.370
Ag: 0.000 0.500 0.500
Sb: 0.500 0.811 0.311
Al: 0.000 0.630 0.130
Ag: 0.000 0.000 0.000
Sb: 0.500 0.311 0.189

spin magnetization: 0.00 μB/cell



Most stable of them? (x).



(w)
This record from the Alexandria database describes TaAlAg2 at its PBEsol-relaxed geometry. The functional is meta-GGA SCAN.

Unit cell a=2.828 b=4.810 c=5.610 alpha=115.38 beta=104.60 gamma=90.00
Positions (direct):
Ta: 0.000 0.500 0.000
Ag: 0.765 0.765 0.529
Ag: 0.235 0.235 0.471
Al: 0.500 0.000 0.000

spin magnetization: 0.00 μB/cell



(x)
This record from the Alexandria database describes TaAlAg2 at its PBEsol-relaxed geometry. The functional is meta-GGA SCAN.

Unit cell a=2.852 b=4.864 c=5.555 alpha=115.97 beta=104.88 gamma=90.00
Positions (direct):
Ag: 0.762 0.262 0.523
Ta: 0.240 0.740 0.479
Ag: 0.006 0.006 0.012
Al: 0.493 0.493 0.986

spin magnetization: 0.00 μB/cell



Most stable of them? (w).



(w)
This record from the Alexandria database describes AlTcAg at its PBEsol-relaxed geometry. The functional is meta-GGA SCAN.

Unit cell a=2.711 b=4.370 c=4.370 alpha=120.00 beta=90.00 gamma=90.00
Positions (direct):
Tc: 0.333 0.333 0.667
Al: 0.832 0.667 0.333
Ag: 0.834 0.000 0.000

spin magnetization: 0.01 μB/cell



(x)
This record from the Alexandria database describes AlTcAg at its PBEsol-relaxed geometry. The functional is meta-GGA SCAN.

Unit cell a=4.245 b=4.245 c=4.245 alpha=60.00 beta=60.00 gamma=60.00
Each line ends with the local moment (μB).
Positions (direct):
Ag: 0.250 0.250 0.250  0.10
Tc: 0.500 0.500 0.500  2.61
Al: 0.000 0.000 0.000  -0.05

spin magnetization: 2.75 μB/cell



Most stable of them? (w).



(w)
This record from the Alexandria database describes AlTlAg2 at its PBEsol-relaxed geometry. The functional is meta-GGA SCAN.

Unit cell a=3.568 b=3.568 c=5.889 alpha=90.00 beta=90.00 gamma=90.00
Positions (direct):
Ag: 0.000 0.000 0.016
Tl: 0.500 0.500 0.755
Al: 0.000 0.000 0.469
Ag: 0.500 0.500 0.260

spin magnetization: 0.00 μB/cell



(x)
This record from the Alexandria database describes AlTlAg2 at its PBEsol-relaxed geometry. The functional is meta-GGA SCAN.

Unit cell a=3.214 b=4.955 c=4.955 alpha=107.68 beta=90.00 gamma=90.00
Positions (direct):
Ag: 0.000 0.000 0.500
Tl: 0.500 0.500 0.500
Al: 0.500 0.000 0.000
Ag: 0.000 0.500 0.000

spin magnetization: 0.00 μB/cell



Most stable of them? (w).



(w)
This record from the Alexandria database describes AlTlAg2 at its PBEsol-relaxed geometry. The functional is meta-GGA SCAN.

Unit cell a=3.041 b=5.250 c=5.648 alpha=117.70 beta=105.62 gamma=90.00
Positions (direct):
Tl: 0.000 0.500 0.000
Al: 0.500 0.000 0.000
Ag: 0.772 0.772 0.545
Ag: 0.228 0.228 0.455

spin magnetization: 0.00 μB/cell



(x)
This record from the Alexandria database describes AlTlAg2 at its PBEsol-relaxed geometry. The functional is meta-GGA SCAN.

Unit cell a=4.759 b=4.759 c=4.759 alpha=60.00 beta=60.00 gamma=60.00
Positions (direct):
Tl: 0.250 0.250 0.250
Ag: 0.750 0.750 0.750
Ag: 0.000 0.000 0.000
Al: 0.500 0.500 0.500

spin magnetization: 0.00 μB/cell



Most stable of them? (w).



(w)
This record from the Alexandria database describes AlZnAg at its PBEsol-relaxed geometry. The functional is meta-GGA SCAN.

Unit cell a=2.795 b=2.795 c=6.286 alpha=102.84 beta=102.84 gamma=90.00
Positions (direct):
Ag: 0.000 0.000 0.000
Al: 0.670 0.670 0.339
Zn: 0.331 0.331 0.661

spin magnetization: 0.00 μB/cell



(x)
This record from the Alexandria database describes AlZnAg at its PBEsol-relaxed geometry. The functional is meta-GGA SCAN.

Unit cell a=2.877 b=2.877 c=6.505 alpha=90.00 beta=90.00 gamma=120.00
Positions (direct):
Ag: 0.000 0.000 0.001
Al: 0.333 0.667 0.665
Zn: 0.667 0.333 0.335

spin magnetization: 0.00 μB/cell



Most stable of them? (x).



(w)
This record from the Alexandria database describes AlZnAg at its PBEsol-relaxed geometry. The functional is meta-GGA SCAN.

Unit cell a=3.086 b=3.717 c=4.709 alpha=113.24 beta=109.12 gamma=90.00
Positions (direct):
Al: 0.667 0.667 0.333
Zn: 0.333 0.333 0.666
Ag: 0.000 0.000 0.000

spin magnetization: 0.00 μB/cell



(x)
This record from the Alexandria database describes AlZnAg at its PBEsol-relaxed geometry. The functional is meta-GGA SCAN.

Unit cell a=2.818 b=2.818 c=6.712 alpha=97.05 beta=97.05 gamma=114.55
Positions (direct):
Al: 0.669 0.669 0.338
Zn: 0.332 0.332 0.664
Ag: 0.999 0.999 0.998

spin magnetization: 0.00 μB/cell



Most stable of them? (w).



(w)
This record from the Alexandria database describes ZrAl2Ag at its PBEsol-relaxed geometry. The functional is meta-GGA SCAN.

Unit cell a=3.034 b=3.034 c=7.483 alpha=90.00 beta=90.00 gamma=90.00
Positions (direct):
Al: 0.000 0.000 0.271
Ag: 0.500 0.500 0.500
Zr: 0.500 0.500 0.000
Al: 0.000 0.000 0.729

spin magnetization: 0.00 μB/cell



(x)
This record from the Alexandria database describes ZrAl2Ag at its PBEsol-relaxed geometry. The functional is meta-GGA SCAN.

Unit cell a=4.634 b=4.634 c=4.634 alpha=60.00 beta=60.00 gamma=60.00
Positions (direct):
Al: 0.000 0.000 0.000
Zr: 0.500 0.500 0.500
Ag: 0.750 0.750 0.750
Al: 0.250 0.250 0.250

spin magnetization: 0.00 μB/cell



(y)
This record from the Alexandria database describes ZrAl2Ag at its PBEsol-relaxed geometry. The functional is meta-GGA SCAN.

Unit cell a=3.947 b=4.183 c=4.183 alpha=90.00 beta=90.00 gamma=90.00
Positions (direct):
Al: 0.000 0.000 0.500
Ag: 0.500 0.000 0.000
Al: 0.000 0.500 0.000
Zr: 0.500 0.500 0.500

spin magnetization: 0.00 μB/cell



Most stable of them? (y).